(1)
The following is a DFT calculation (PBE) of an optimized crystal structure of KEuZrBiO6.

Values from the calculation:
ΔE_f (raw): -2144 meV/atom

Cell: 5.971 5.971 5.971 Å, 60.00 60.00 60.00°
Site moments in Bohr magnetons follow the coordinates.
Element x y z (fractional)
Eu 0.250 0.250 0.250  6.73
O 0.748 0.748 0.252  -0.01
O 0.748 0.252 0.748  -0.01
O 0.252 0.748 0.252  -0.01
O 0.252 0.748 0.748  -0.01
O 0.748 0.252 0.252  -0.01
O 0.252 0.252 0.748  -0.01
Bi 0.000 0.000 0.000  0.00
K 0.750 0.750 0.750  0.00
Zr 0.500 0.500 0.500  0.00


(2)
The following is a DFT calculation (PBE) of an optimized crystal structure of La2EuBi.

Values from the calculation:
E_form: -1.885 eV per formula unit

Cell: 5.040 5.116 5.116 Å, 90.00 90.00 90.00°
Site moments in Bohr magnetons follow the coordinates.
Element x y z (fractional)
Bi 0.500 0.000 0.000  0.04
Eu 0.500 0.500 0.500  -6.99
La 0.000 0.500 0.000  -0.15
La 0.000 0.000 0.500  -0.15


(3)
The following is a DFT calculation (PBE) of an optimized crystal structure of La2EuBi.

Values from the calculation:
E_form: 0.100 eV per formula unit

Cell: 3.680 3.680 13.017 Å, 81.87 81.87 60.00°
Site moments in Bohr magnetons follow the coordinates.
Element x y z (fractional)
La 0.085 0.085 0.745  0.02
La 0.915 0.915 0.255  0.02
Bi 0.000 0.000 0.000  -0.01
Eu 0.500 0.500 0.500  7.03


(4)
The following is a DFT calculation (PBE) of an optimized crystal structure of LaEuBi.

Values from the calculation:
E_form: -1.796 eV per formula unit

Cell: 4.326 4.326 6.251 Å, 110.24 110.24 90.00°
Site moments in Bohr magnetons follow the coordinates.
Element x y z (fractional)
Bi 0.281 0.281 0.562  -0.07
Eu 0.936 0.936 0.872  7.10
La 0.633 0.633 0.267  0.48


no.,theoretical density (Mg/m³)
1,6.5
2,8.0
3,7.0
4,8.1